Entry 1:
Computed, not measured: Y2ReTc after structural relaxation at the PBE level of DFT.

Lattice parameters (Å, degrees): 5.5182 5.5182 5.5182 143.48 126.07 66.89
Last column: nearest neighbours and their distance in Å.
Element x y z (fractional)
Y: 0.9968 0.9968 0.0000  2 Tc 2.86, 2 Re 2.90, 4 Y 3.04
Y: 0.5032 0.5032 0.0000  2 Tc 2.86, 2 Re 2.90, 4 Y 3.04
Re: 0.2500 0.7500 0.5000  4 Y 2.90, 4 Tc 3.04
Tc: 0.7500 0.2500 0.5000  4 Y 2.86, 4 Re 3.04

For the formation energy, the calculation gives 0.4507 eV per atom. The value obtained for the density of states at the Fermi level is 3.88 states/eV/f.u. As for the calculated total energy: -8.485 eV per atom.

---

Entry 2:
Computed, not measured: YReTc2 after structural relaxation at the PBE level of DFT.

Lattice parameters (Å, degrees): 9.4655 9.4655 9.4655 17.74 17.74 17.74
Last column: nearest neighbours and their distance in Å.
Element x y z (fractional)
Y: 0.2500 0.2500 0.2500  6 Y 2.92, 6 Tc 3.07
Re: 0.7500 0.7500 0.7500  6 Tc 2.68, 6 Re 2.92
Tc: 0.0086 0.0086 0.0086  3 Re 2.68, 6 Tc 2.92
Tc: 0.4914 0.4914 0.4914  3 Re 2.68, 6 Tc 2.92

For the formation energy, the calculation gives 0.4327 eV per atom. The value obtained for the density of states at the Fermi level is 4.87 states/eV/f.u. As for the calculated total energy: -9.478 eV per atom.

---

Entry 3:
Computed, not measured: Y2ReTc after structural relaxation at the PBE level of DFT.

Lattice parameters (Å, degrees): 5.9046 5.9046 5.9046 146.70 130.66 60.83
Last column: nearest neighbours and their distance in Å.
Element x y z (fractional)
Y: 0.2646 0.7646 0.5000  4 Tc 3.03, 2 Re 3.21, 6 Y 3.31-3.38
Y: 0.9852 0.9852 0.0000  4 Re 3.03, 2 Tc 3.21, 6 Y 3.31-3.38
Tc: 0.7173 0.2173 0.5000  2 Re 2.53
Re: 0.5329 0.5329 0.0000  2 Tc 2.53

For the formation energy, the calculation gives 0.1073 eV per atom. The value obtained for the density of states at the Fermi level is 4.11 states/eV/f.u. As for the calculated total energy: -8.828 eV per atom.

---

Entry 4:
Computed, not measured: YReTc4 after structural relaxation at the PBE level of DFT.

Lattice parameters (Å, degrees): 5.2167 5.2167 5.2167 60.00 60.00 60.00
Last column: nearest neighbours and their distance in Å.
Element x y z (fractional)
Tc: 0.6244 0.6244 0.1267  6 Tc 2.60-2.62
Tc: 0.6244 0.6244 0.6244  6 Tc 2.60-2.62
Tc: 0.6244 0.1267 0.6244  6 Tc 2.60-2.62
Tc: 0.1267 0.6244 0.6244  6 Tc 2.60-2.62
Y: 0.2500 0.2500 0.2500  12 Tc 3.06, 4 Re 3.19
Re: 0.0000 0.0000 0.0000  12 Tc 3.06, 4 Y 3.19

For the formation energy, the calculation gives 0.1907 eV per atom. The value obtained for the density of states at the Fermi level is 6.89 states/eV/f.u. As for the calculated total energy: -9.872 eV per atom.

---

Entry 5:
Computed, not measured: Y4ReTc after structural relaxation at the PBE level of DFT.

Lattice parameters (Å, degrees): 5.8425 5.8425 5.8425 60.00 60.00 60.00
Last column: nearest neighbours and their distance in Å.
Element x y z (fractional)
Y: 0.3752 0.8744 0.3752  6 Y 2.92-2.93
Y: 0.8744 0.3752 0.3752  6 Y 2.92-2.93
Y: 0.3752 0.3752 0.3752  6 Y 2.92-2.93
Y: 0.3752 0.3752 0.8744  6 Y 2.92-2.93
Tc: 0.0000 0.0000 0.0000  12 Y 3.43, 4 Re 3.58
Re: 0.7500 0.7500 0.7500  12 Y 3.42, 4 Tc 3.58

For the formation energy, the calculation gives 1.2234 eV per atom. The value obtained for the density of states at the Fermi level is 9.39 states/eV/f.u. As for the calculated total energy: -6.888 eV per atom.

---

Entry 6:
Computed, not measured: YRe2Tc2 after structural relaxation at the PBE level of DFT.

Lattice parameters (Å, degrees): 7.8010 7.8010 2.8141 90.00 90.00 90.00
Last column: nearest neighbours and their distance in Å.
Element x y z (fractional)
Tc: 0.3728 0.8728 0.0000  6 Re 2.69-2.70, 3 Tc 2.81
Tc: 0.1272 0.3728 0.0000  6 Re 2.69-2.70, 3 Tc 2.81
Tc: 0.8728 0.6272 0.0000  6 Re 2.69-2.70, 3 Tc 2.81
Tc: 0.6272 0.1272 0.0000  6 Re 2.69-2.70, 3 Tc 2.81
Re: 0.3363 0.1637 0.5000  6 Tc 2.69-2.70, 2 Re 2.81
Re: 0.1637 0.6637 0.5000  6 Tc 2.69-2.70, 2 Re 2.81
Re: 0.6637 0.8363 0.5000  6 Tc 2.69-2.70, 2 Re 2.81
Re: 0.8363 0.3363 0.5000  6 Tc 2.69-2.70, 2 Re 2.81
Y: 0.5000 0.5000 0.0000  2 Y 2.81, 4 Tc 3.07
Y: 0.0000 0.0000 0.0000  2 Y 2.81, 4 Tc 3.07

For the formation energy, the calculation gives 0.1630 eV per atom. The value obtained for the density of states at the Fermi level is 3.67 states/eV/f.u. As for the calculated total energy: -10.255 eV per atom.